[1]
Computed, not measured: crystalline Mn2FeI2 at its relaxed geometry at the PBE level of DFT.

abc: 7.4179 7.4179 3.8555
angles: 90.00 90.00 90.00
With the nearest neighbours (Å) after each atom.
Fractional positions:
Mn 0.1287 0.3713 0.0000  1 Mn 2.70, 6 I 2.81-2.99
Mn 0.3713 0.8713 0.0000  1 Mn 2.70, 6 I 2.81-2.99
Mn 0.6287 0.1287 0.0000  1 Mn 2.70, 6 I 2.81-2.99
Mn 0.8713 0.6287 0.0000  1 Mn 2.70, 6 I 2.81-2.99
Fe 0.0000 0.0000 0.5000  4 I 2.73
Fe 0.5000 0.5000 0.5000  4 I 2.73
I 0.1764 0.6764 0.5000  2 Fe 2.73, 6 Mn 2.81-2.99
I 0.3236 0.1764 0.5000  2 Fe 2.73, 6 Mn 2.81-2.99
I 0.6764 0.8236 0.5000  2 Fe 2.73, 6 Mn 2.81-2.99
I 0.8236 0.3236 0.5000  2 Fe 2.73, 6 Mn 2.81-2.99

Output
As for the space-group type: P4/mbm. The formation energy (no corrections) is 400 kJ/mol of formula units. The magnetic moment is 10.465 μB per formula unit. The calculated volume comes out at 212.1 Å³ per cell.

[2]
Computed, not measured: crystalline MnFeI6 at its relaxed geometry at the PBE level of DFT.

abc: 7.4440 7.4440 7.4440
angles: 56.91 56.91 56.91
With the nearest neighbours (Å) after each atom.
Fractional positions:
Mn 0.0000 0.0000 0.0000  6 I 2.78
Fe 0.5000 0.5000 0.5000  6 I 2.76
I 0.1046 0.3977 0.7492  1 Fe 2.76, 1 Mn 2.78
I 0.2508 0.8954 0.6023  1 Fe 2.76, 1 Mn 2.78
I 0.3977 0.7492 0.1046  1 Fe 2.76, 1 Mn 2.78
I 0.6023 0.2508 0.8954  1 Fe 2.76, 1 Mn 2.78
I 0.7492 0.1046 0.3977  1 Fe 2.76, 1 Mn 2.78
I 0.8954 0.6023 0.2508  1 Fe 2.76, 1 Mn 2.78

Output
As for the energy above the most stable polymorph in this dataset: 74.3 meV per atom. As for the space-group type: R-3. The formation energy (no corrections) is -86 kJ/mol of formula units. The magnetic moment is 8.188 μB per formula unit. The calculated volume comes out at 270.9 Å³ per cell.

[3]
Computed, not measured: crystalline MnFeI3 at its relaxed geometry at the PBE level of DFT.

abc: 5.2945 5.2945 5.2945
angles: 90.00 90.00 90.00
With the nearest neighbours (Å) after each atom.
Fractional positions:
Mn 0.0000 0.0000 0.0000  12 I 3.74
Fe 0.5000 0.5000 0.5000  6 I 2.65
I 0.0000 0.5000 0.5000  2 Fe 2.65
I 0.5000 0.0000 0.5000  2 Fe 2.65
I 0.5000 0.5000 0.0000  2 Fe 2.65

Output
As for the energy above the most stable polymorph in this dataset: 60.9 meV per atom. As for the space-group type: Pm-3m. The formation energy (no corrections) is 310 kJ/mol of formula units. The magnetic moment is 5.575 μB per formula unit. The calculated volume comes out at 148.4 Å³ per cell.

[4]
Computed, not measured: crystalline MnFe3I12 at its relaxed geometry at the PBE level of DFT.

abc: 13.1722 13.1722 13.1722
angles: 62.86 62.86 62.86
With the nearest neighbours (Å) after each atom.
Fractional positions:
Mn 0.0000 0.0000 0.0000  6 I 2.89-2.90
Mn 0.5000 0.5000 0.5000  6 I 2.89-2.90
Fe 0.2528 0.8292 0.2677  4 I 2.49-2.63
Fe 0.2677 0.2528 0.8292  4 I 2.49-2.63
Fe 0.3292 0.7528 0.7677  4 I 2.49-2.63
Fe 0.7528 0.7677 0.3292  4 I 2.49-2.63
Fe 0.7677 0.3292 0.7528  4 I 2.49-2.63
Fe 0.8292 0.2677 0.2528  4 I 2.49-2.63
I 0.0765 0.2127 0.8644  1 Fe 2.60, 1 Mn 2.90
I 0.0771 0.8239 0.4542  1 Fe 2.49
I 0.1193 0.9209 0.7900  1 Fe 2.63, 1 Mn 2.89
I 0.2127 0.8644 0.0765  1 Fe 2.60, 1 Mn 2.90
I 0.2193 0.3351 0.9886  1 Fe 2.49
I 0.2900 0.4208 0.6193  1 Fe 2.63, 1 Mn 2.89
I 0.3239 0.5771 0.9542  1 Fe 2.49
I 0.3351 0.9886 0.2193  1 Fe 2.49
I 0.3644 0.7127 0.5765  1 Fe 2.60, 1 Mn 2.90
I 0.4209 0.6193 0.2900  1 Fe 2.63, 1 Mn 2.89
I 0.4542 0.0771 0.8239  1 Fe 2.49
I 0.4886 0.8351 0.7193  1 Fe 2.49
I 0.5765 0.3644 0.7127  1 Fe 2.60, 1 Mn 2.90
I 0.5771 0.9542 0.3239  1 Fe 2.49
I 0.6193 0.2900 0.4208  1 Fe 2.63, 1 Mn 2.89
I 0.7127 0.5765 0.3644  1 Fe 2.60, 1 Mn 2.90
I 0.7193 0.4886 0.8351  1 Fe 2.49
I 0.7900 0.1193 0.9209  1 Fe 2.63, 1 Mn 2.89
I 0.8239 0.4542 0.0771  1 Fe 2.49
I 0.8351 0.7193 0.4886  1 Fe 2.49
I 0.8644 0.0765 0.2127  1 Fe 2.60, 1 Mn 2.90
I 0.9209 0.7900 0.1193  1 Fe 2.63, 1 Mn 2.89
I 0.9542 0.3239 0.5771  1 Fe 2.49
I 0.9886 0.2193 0.3351  1 Fe 2.49

Output
As for the space-group type: R3c. The formation energy (no corrections) is -218 kJ/mol of formula units. The magnetic moment is 18.982 μB per formula unit. The calculated volume comes out at 1718.7 Å³ per cell.

> The highest formation energy (no corrections) belongs to which entry?

Mn2FeI2